First-principles (GGA-PBE) data for crystalline CdGa3Au at its relaxed geometry, as listed in Alexandria via LeMat-Bulk.

CIF file:
```
data_CdGa3Au
_chemical_formula_sum 'Cd2 Ga6 Au2'
_cell_length_a 6.352
_cell_length_b 6.352
_cell_length_c 6.252
_cell_angle_alpha 90.06
_cell_angle_beta 90.06
_cell_angle_gamma 59.92
_symmetry_space_group_name_H-M 'P 1'
_symmetry_Int_Tables_number 1
_symmetry_space_group_name_Hall 'P 1'
loop_
_atom_site_label
_atom_site_fract_x
_atom_site_fract_y
_atom_site_fract_z
Cd1 0.167 0.167 0.250
Cd2 0.833 0.833 0.750
Ga1 0.112 0.693 0.250
Ga2 0.306 0.306 0.750
Ga3 0.307 0.888 0.750
Ga4 0.693 0.112 0.250
Ga5 0.694 0.694 0.250
Ga6 0.888 0.307 0.750
Au1 0.500 0.500 0.000
Au2 0.500 0.500 0.500
```

Properties
The calculation puts the density of states at the Fermi level at 4.142 states/eV per cell. For the energy relative to the lowest polymorph listed for this composition, the calculation gives 0.000 eV per atom. The calculation puts the formation energy at 28 meV/atom. As for the space-group type: C2/m, No. 12. The energy is -2.627 eV/atom.



First-principles (GGA-PBE) data for crystalline MnHCl2 at its relaxed geometry, as listed in Alexandria via LeMat-Bulk.

CIF file:
```
data_MnHCl2
_chemical_formula_sum 'Mn2 H2 Cl4'
_cell_length_a 6.106
_cell_length_b 3.591
_cell_length_c 7.162
_cell_angle_alpha 90.00
_cell_angle_beta 102.52
_cell_angle_gamma 90.00
_symmetry_space_group_name_H-M 'P 1'
_symmetry_Int_Tables_number 1
_symmetry_space_group_name_Hall 'P 1'
loop_
_atom_site_label
_atom_site_fract_x
_atom_site_fract_y
_atom_site_fract_z
Mn1 0.000 0.000 0.000
Mn2 0.500 0.500 0.000
H1 0.063 0.000 0.448
H2 0.563 0.500 0.448
Cl1 0.122 0.500 0.801
Cl2 0.198 0.000 0.322
Cl3 0.622 0.000 0.801
Cl4 0.698 0.500 0.322
```

Properties
The calculation puts the density of states at the Fermi level at 0.670 states/eV per cell. As for the space-group type: Cm, No. 8. The energy is -4.302 eV/atom.



First-principles (GGA-PBE) data for crystalline Te2AsP at its relaxed geometry, as listed in Alexandria via LeMat-Bulk.

CIF file:
```
data_Te2AsP
_chemical_formula_sum 'Te2 As1 P1'
_cell_length_a 3.631
_cell_length_b 3.631
_cell_length_c 8.311
_cell_angle_alpha 90.00
_cell_angle_beta 90.00
_cell_angle_gamma 90.00
_symmetry_space_group_name_H-M 'P 1'
_symmetry_Int_Tables_number 1
_symmetry_space_group_name_Hall 'P 1'
loop_
_atom_site_label
_atom_site_fract_x
_atom_site_fract_y
_atom_site_fract_z
Te1 0.000 0.000 0.000
Te2 0.500 0.500 0.355
As1 0.000 0.000 0.688
P1 0.500 0.500 0.651
```

Properties
The calculation puts the density of states at the Fermi level at 2.481 states/eV per cell. For the energy relative to the lowest polymorph listed for this composition, the calculation gives 0.044 eV per atom. As for the space-group type: P4mm, No. 99. The energy is -3.906 eV/atom.



First-principles (GGA-PBE) data for crystalline K3Pa2AlAs6 at its relaxed geometry, as listed in Alexandria via LeMat-Bulk.

CIF file:
```
data_K3Pa2AlAs6
_chemical_formula_sum 'K3 Pa2 Al1 As6'
_cell_length_a 7.552
_cell_length_b 7.552
_cell_length_c 8.245
_cell_angle_alpha 99.64
_cell_angle_beta 99.64
_cell_angle_gamma 127.33
_symmetry_space_group_name_H-M 'P 1'
_symmetry_Int_Tables_number 1
_symmetry_space_group_name_Hall 'P 1'
loop_
_atom_site_label
_atom_site_fract_x
_atom_site_fract_y
_atom_site_fract_z
K1 0.000 0.000 0.000
K2 0.327 0.673 0.000
K3 0.673 0.327 0.000
Pa1 0.153 0.847 0.500
Pa2 0.847 0.153 0.500
Al1 0.500 0.500 0.500
As1 0.147 0.471 0.334
As2 0.244 0.244 0.709
As3 0.471 0.147 0.334
As4 0.529 0.853 0.666
As5 0.756 0.756 0.291
As6 0.853 0.529 0.666
```

Properties
The calculation puts the density of states at the Fermi level at 9.935 states/eV per cell. The calculation puts the formation energy at -505 meV/atom. As for the space-group type: C2/m, No. 12. The energy is -4.999 eV/atom.



First-principles (GGA-PBE) data for crystalline BaLi2Hf3O8 at its relaxed geometry, as listed in Alexandria via LeMat-Bulk.

CIF file:
```
data_BaLi2Hf3O8
_chemical_formula_sum 'Ba1 Li2 Hf3 O8'
_cell_length_a 7.247
_cell_length_b 7.247
_cell_length_c 7.247
_cell_angle_alpha 52.82
_cell_angle_beta 52.82
_cell_angle_gamma 52.82
_symmetry_space_group_name_H-M 'P 1'
_symmetry_Int_Tables_number 1
_symmetry_space_group_name_Hall 'P 1'
loop_
_atom_site_label
_atom_site_fract_x
_atom_site_fract_y
_atom_site_fract_z
Ba1 0.000 0.000 0.000
Li1 0.320 0.320 0.320
Li2 0.802 0.802 0.802
Hf1 0.366 0.366 0.859
Hf2 0.366 0.859 0.366
Hf3 0.859 0.366 0.366
O1 0.117 0.117 0.546
O2 0.117 0.546 0.117
O3 0.140 0.140 0.140
O4 0.159 0.635 0.635
O5 0.546 0.117 0.117
O6 0.588 0.588 0.588
O7 0.635 0.159 0.635
O8 0.635 0.635 0.159
```

Properties
The calculation puts the density of states at the Fermi level at 0.000 states/eV per cell. As for the space-group type: R3m, No. 160. The energy is -8.413 eV/atom.



First-principles (GGA-PBE) data for crystalline K3ScU2Te6 at its relaxed geometry, as listed in Alexandria via LeMat-Bulk.

CIF file:
```
data_K3ScU2Te6
_chemical_formula_sum 'K3 Sc1 U2 Te6'
_cell_length_a 7.685
_cell_length_b 7.685
_cell_length_c 8.671
_cell_angle_alpha 98.51
_cell_angle_beta 98.51
_cell_angle_gamma 120.00
_symmetry_space_group_name_H-M 'P 1'
_symmetry_Int_Tables_number 1
_symmetry_space_group_name_Hall 'P 1'
loop_
_atom_site_label
_atom_site_fract_x
_atom_site_fract_y
_atom_site_fract_z
K1 0.000 0.000 0.000
K2 0.330 0.670 0.000
K3 0.670 0.330 0.000
Sc1 0.500 0.500 0.500
U1 0.166 0.834 0.500
U2 0.834 0.166 0.500
Te1 0.110 0.431 0.293
Te2 0.249 0.249 0.708
Te3 0.431 0.110 0.293
Te4 0.569 0.890 0.707
Te5 0.751 0.751 0.292
Te6 0.890 0.569 0.707
```

Properties
The calculation puts the density of states at the Fermi level at 13.990 states/eV per cell. As for the space-group type: C2/m, No. 12. The energy is -5.227 eV/atom.



First-principles (GGA-PBE) data for crystalline Sr2CdIr at its relaxed geometry, as listed in Alexandria via LeMat-Bulk.

CIF file:
```
data_Sr2CdIr
_chemical_formula_sum 'Sr2 Cd1 Ir1'
_cell_length_a 4.519
_cell_length_b 4.646
_cell_length_c 6.166
_cell_angle_alpha 90.00
_cell_angle_beta 111.38
_cell_angle_gamma 90.00
_symmetry_space_group_name_H-M 'P 1'
_symmetry_Int_Tables_number 1
_symmetry_space_group_name_Hall 'P 1'
loop_
_atom_site_label
_atom_site_fract_x
_atom_site_fract_y
_atom_site_fract_z
Sr1 0.000 0.000 0.000
Sr2 0.281 0.500 0.563
Cd1 0.578 0.500 0.156
Ir1 0.705 0.000 0.410
```

Properties
The calculation puts the density of states at the Fermi level at 2.112 states/eV per cell. The calculation puts the formation energy at -187 meV/atom. As for the space-group type: Pm, No. 6. The energy is -3.472 eV/atom.